Below is a crystal of KCrP2 relaxed with PBEsol, with properties calculated at the SCAN level.

a b c (Å): 7.4615 3.1001 7.2702
angles (deg): 90.00 114.66 90.00
Space group Cm (No. 8)
Unique sites:
K: 0.0000 0.0000 0.0000 (multiplicity 2)
Cr: 0.2825 0.5000 0.4864 (multiplicity 2)
P: 0.1359 0.0000 0.6274 (multiplicity 2)
P: 0.4355 0.0000 0.3586 (multiplicity 2)

Values from the calculation:
- M_tot (μB per atom) = 0.620
- energy above the lowest structure with this stoichiometry (meV per atom) = 0
- uncorrected energy (eV/atom) = -12.16